(1)
CsAu2F7 at its PBEsol-relaxed geometry. Source: the Alexandria database, functional SCAN.

The uncorrected formation energy comes out at -16.00 eV/f.u. For the density of states at the Fermi level, the calculation gives 0.000 states/eV per cell.

The structure belongs to space group C2/c (No. 15); the cell edges are 11.3513, 10.6294 and 7.3820 Å and the angles 90.00°, 123.47° and 90.00°. The asymmetric unit holds Cs at (0.0000, 0.1921, 0.2500), Au at (0.1843, 0.3977, 0.8533), F at (0.0000, 0.3129, 0.7500), F at (0.1344, 0.4564, 0.4523), F at (0.1348, 0.0320, 0.0455) and F at (0.2346, 0.2492, 0.7581).

(2)
CsHfAu2F at its PBEsol-relaxed geometry. Source: the Alexandria database, functional SCAN.

The uncorrected formation energy comes out at 4.22 eV/f.u. For the density of states at the Fermi level, the calculation gives 4.171 states/eV per cell.

The structure belongs to space group P4/mmm (No. 123); the cell edges are 5.6231, 5.6231 and 4.5629 Å and the angles 90.00°, 90.00° and 90.00°. The asymmetric unit holds Cs at (0.0000, 0.0000, 0.0000), Hf at (0.5000, 0.5000, 0.5000), Au at (0.0000, 0.5000, 0.0000) and F at (0.0000, 0.0000, 0.5000).

(3)
Cs2NaAuF6 at its PBEsol-relaxed geometry. Source: the Alexandria database, functional SCAN.

The uncorrected formation energy comes out at -22.87 eV/f.u.

The structure belongs to space group Fm-3m (No. 225); the cell edges are 8.8635, 8.8635 and 8.8635 Å and the angles 90.00°, 90.00° and 90.00°. The asymmetric unit holds Cs at (0.2500, 0.2500, 0.2500), Na at (0.0000, 0.0000, 0.0000), Au at (0.0000, 0.0000, 0.5000) and F at (0.0000, 0.0000, 0.2601).

(4)
CsAuO2F at its PBEsol-relaxed geometry. Source: the Alexandria database, functional SCAN.

The uncorrected formation energy comes out at -4.13 eV/f.u. For the density of states at the Fermi level, the calculation gives 2.590 states/eV per cell.

The structure belongs to space group P4/mmm (No. 123); the cell edges are 3.9560, 3.9560 and 5.3630 Å and the angles 90.00°, 90.00° and 90.00°. The asymmetric unit holds Cs at (0.0000, 0.0000, 0.0000), Au at (0.5000, 0.5000, 0.5000), O at (0.0000, 0.5000, 0.5000) and F at (0.5000, 0.5000, 0.0000).

(5)
CsSbAuF2 at its PBEsol-relaxed geometry. Source: the Alexandria database, functional SCAN.

The uncorrected formation energy comes out at -7.39 eV/f.u. For the density of states at the Fermi level, the calculation gives 1.248 states/eV per cell.

The structure belongs to space group P4/mmm (No. 123); the cell edges are 4.7360, 4.7360 and 5.1917 Å and the angles 90.00°, 90.00° and 90.00°. The asymmetric unit holds Cs at (0.0000, 0.0000, 0.0000), Sb at (0.5000, 0.5000, 0.5000), Au at (0.5000, 0.5000, 0.0000) and F at (0.0000, 0.5000, 0.5000).

(6)
Cs2YAuF at its PBEsol-relaxed geometry. Source: the Alexandria database, functional SCAN.

The uncorrected formation energy comes out at -1.17 eV/f.u. For the density of states at the Fermi level, the calculation gives 1.823 states/eV per cell.

The structure belongs to space group P4/mmm (No. 123); the cell edges are 7.2952, 7.2952 and 5.2156 Å and the angles 90.00°, 90.00° and 90.00°. The asymmetric unit holds Cs at (0.0000, 0.5000, 0.0000), Y at (0.0000, 0.0000, 0.0000), Au at (0.0000, 0.0000, 0.5000) and F at (0.5000, 0.5000, 0.5000).

(7)
CsFeAu3 at its PBEsol-relaxed geometry. Source: the Alexandria database, functional SCAN.

For the density of states at the Fermi level, the calculation gives 1.416 states/eV per cell.

The structure belongs to space group Pm-3m (No. 221); the cell edges are 4.9776, 4.9776 and 4.9776 Å and the angles 90.00°, 90.00° and 90.00°. The asymmetric unit holds Cs at (0.0000, 0.0000, 0.0000), Fe at (0.5000, 0.5000, 0.5000) and Au at (0.0000, 0.5000, 0.5000).

(8)
CsGeAu3 at its PBEsol-relaxed geometry. Source: the Alexandria database, functional SCAN.

For the density of states at the Fermi level, the calculation gives 0.718 states/eV per cell.

The structure belongs to space group Pm-3m (No. 221); the cell edges are 5.0338, 5.0338 and 5.0338 Å and the angles 90.00°, 90.00° and 90.00°. The asymmetric unit holds Cs at (0.0000, 0.0000, 0.0000), Ge at (0.5000, 0.5000, 0.5000) and Au at (0.0000, 0.5000, 0.5000).

(9)
CsH3Au at its PBEsol-relaxed geometry. Source: the Alexandria database, functional SCAN.

For the density of states at the Fermi level, the calculation gives 1.770 states/eV per cell.

The structure belongs to space group Pm-3m (No. 221); the cell edges are 4.0446, 4.0446 and 4.0446 Å and the angles 90.00°, 90.00° and 90.00°. The asymmetric unit holds Cs at (0.0000, 0.0000, 0.0000), H at (0.0000, 0.5000, 0.5000) and Au at (0.5000, 0.5000, 0.5000).

(10)
CsH2Au at its PBEsol-relaxed geometry. Source: the Alexandria database, functional SCAN.

For the density of states at the Fermi level, the calculation gives 4.243 states/eV per cell.

The structure belongs to space group Fm-3m (No. 225); the cell edges are 6.7213, 6.7213 and 6.7213 Å and the angles 90.00°, 90.00° and 90.00°. The asymmetric unit holds Cs at (0.0000, 0.0000, 0.0000), H at (0.2500, 0.2500, 0.2500) and Au at (0.0000, 0.0000, 0.5000).

(11)
Cs3HAu at its PBEsol-relaxed geometry. Source: the Alexandria database, functional SCAN.

For the density of states at the Fermi level, the calculation gives 2.823 states/eV per cell.

The structure belongs to space group Pm-3m (No. 221); the cell edges are 5.7078, 5.7078 and 5.7078 Å and the angles 90.00°, 90.00° and 90.00°. The asymmetric unit holds Cs at (0.0000, 0.0000, 0.5000), H at (0.0000, 0.0000, 0.0000) and Au at (0.5000, 0.5000, 0.5000).

(12)
CsH2Au at its PBEsol-relaxed geometry. Source: the Alexandria database, functional SCAN.

For the density of states at the Fermi level, the calculation gives 4.987 states/eV per cell.

The structure belongs to space group Fd-3m (No. 227, origin choice 2); the cell edges are 8.3484, 8.3484 and 8.3484 Å and the angles 90.00°, 90.00° and 90.00°. The asymmetric unit holds Cs at (0.1250, 0.1250, 0.1250), H at (0.0000, 0.0000, 0.5000) and Au at (0.1250, 0.1250, 0.6250).

no.,calculated total energy (eV per atom)
1,-21.69
2,-47.62
3,-19.31
4,-25.42
5,-31.74
6,-35.47
7,-52.60
8,-53.10
9,-23.44
10,-27.64
11,-37.42
12,-28.70